DFT (PBE-GGA) results for a geometry-optimized Li4TlHg5 structure.

Values from the calculation:
Calculated volume (Å³/atom): 20.35
Crystal system: tetragonal
Symmetry: P4/mmm
E (eV per atom): -1.45

a b c (Å): 3.3769 3.3769 17.8417
angles (deg): 90.00 90.00 90.00
Atoms (fractional coordinates):
Hg (0.5000, 0.5000, 0.1345)
Hg (0.5000, 0.5000, 0.3181)
Hg (0.5000, 0.5000, 0.5000)
Hg (0.5000, 0.5000, 0.6819)
Hg (0.5000, 0.5000, 0.8655)
Li (0.0000, 0.0000, 0.2249)
Li (0.0000, 0.0000, 0.4076)
Li (0.0000, 0.0000, 0.5924)
Li (0.0000, 0.0000, 0.7751)
Tl (0.0000, 0.0000, 0.0000)